No. 1
# NaCe2Br6 | Alexandria | GGA-PBE | optimized geometry
data_NaCe2Br6
_space_group_name_H-M_alt 'P 1'
_space_group_IT_number 1
_cell_length_a 7.578
_cell_length_b 7.578
_cell_length_c 8.111
_cell_angle_alpha 62.15
_cell_angle_beta 62.15
_cell_angle_gamma 60.00
loop_
_space_group_symop_operation_xyz
'x,y,z'
loop_
_atom_site_label
_atom_site_type_symbol
_atom_site_fract_x
_atom_site_fract_y
_atom_site_fract_z
Na1 Na 0.791 0.791 0.627
Ce1 Ce 0.292 0.292 0.124
Ce2 Ce 0.470 0.470 0.591
Br1 Br 0.554 0.203 0.362
Br2 Br 0.203 0.881 0.362
Br3 Br 0.881 0.554 0.362
Br4 Br 0.396 0.683 0.857
Br5 Br 0.683 0.064 0.857
Br6 Br 0.064 0.396 0.857
# Volume: 37.74 A^3/atom
# Total moment: 3.00 μB/f.u.
# Formation energy (no corrections): -1680 meV per atom
# Distance to the lowest polymorph of the same formula: 0 meV/atom
# Raw total energy: -4.2606 eV/atom
# Symmetry: R3, No. 146



No. 2
# Na2Ce2Br7 | Alexandria | GGA-PBE | optimized geometry
data_Na2Ce2Br7
_space_group_name_H-M_alt 'P 1'
_space_group_IT_number 1
_cell_length_a 4.303
_cell_length_b 9.603
_cell_length_c 9.603
_cell_angle_alpha 58.76
_cell_angle_beta 77.05
_cell_angle_gamma 77.05
loop_
_space_group_symop_operation_xyz
'x,y,z'
loop_
_atom_site_label
_atom_site_type_symbol
_atom_site_fract_x
_atom_site_fract_y
_atom_site_fract_z
Na1 Na 0.732 0.851 0.685
Na2 Na 0.268 0.315 0.149
Ce1 Ce 0.000 0.779 0.221
Ce2 Ce 0.500 0.348 0.652
Br1 Br 0.818 0.067 0.297
Br2 Br 0.876 0.404 0.843
Br3 Br 0.500 0.007 0.993
Br4 Br 0.606 0.505 0.284
Br5 Br 0.394 0.716 0.495
Br6 Br 0.182 0.703 0.933
Br7 Br 0.124 0.157 0.596
# Volume: 29.80 A^3/atom
# Total moment: 3.01 μB/f.u.
# Formation energy (no corrections): -1649 meV per atom
# Distance to the lowest polymorph of the same formula: 0 meV/atom
# Raw total energy: -4.0318 eV/atom
# Symmetry: Imm2, No. 44



No. 3
# NaCeBr3 | Alexandria | GGA-PBE | optimized geometry
data_NaCeBr3
_space_group_name_H-M_alt 'P 1'
_space_group_IT_number 1
_cell_length_a 3.788
_cell_length_b 8.121
_cell_length_c 8.126
_cell_angle_alpha 60.02
_cell_angle_beta 90.00
_cell_angle_gamma 90.00
loop_
_space_group_symop_operation_xyz
'x,y,z'
loop_
_atom_site_label
_atom_site_type_symbol
_atom_site_fract_x
_atom_site_fract_y
_atom_site_fract_z
Na1 Na 0.220 0.433 0.396
Ce1 Ce 0.220 0.099 0.062
Br1 Br 0.720 0.286 0.728
Br2 Br 0.720 0.247 0.249
Br3 Br 0.720 0.765 0.209
# Volume: 43.31 A^3/atom
# Total moment: 1.39 μB/f.u.
# Formation energy (no corrections): -1518 meV per atom
# Distance to the lowest polymorph of the same formula: 49 meV/atom
# Raw total energy: -3.9721 eV/atom
# Symmetry: P-6, No. 174



No. 4
# NaCeBr4 | Alexandria | GGA-PBE | optimized geometry
data_NaCeBr4
_space_group_name_H-M_alt 'P 1'
_space_group_IT_number 1
_cell_length_a 4.431
_cell_length_b 7.629
_cell_length_c 13.705
_cell_angle_alpha 98.69
_cell_angle_beta 90.00
_cell_angle_gamma 90.00
loop_
_space_group_symop_operation_xyz
'x,y,z'
loop_
_atom_site_label
_atom_site_type_symbol
_atom_site_fract_x
_atom_site_fract_y
_atom_site_fract_z
Na1 Na 0.500 0.000 0.500
Na2 Na 0.000 0.000 0.000
Ce1 Ce 0.000 0.500 0.500
Ce2 Ce 0.500 0.500 0.000
Br1 Br 0.500 0.617 0.380
Br2 Br 0.000 0.383 0.120
Br3 Br 0.500 0.383 0.620
Br4 Br 0.000 0.617 0.880
Br5 Br 0.000 0.149 0.390
Br6 Br 0.500 0.851 0.110
Br7 Br 0.000 0.851 0.610
Br8 Br 0.500 0.149 0.890
# Volume: 38.17 A^3/atom
# Total moment: 1.00 μB/f.u.
# Formation energy (no corrections): -1713 meV per atom
# Distance to the lowest polymorph of the same formula: 0 meV/atom
# Raw total energy: -4.0367 eV/atom
# Symmetry: C2/m, No. 12



Look up the formation energy (no corrections) of the second one. -1649 meV per atom



Look up the volume of the second one. 29.80 A^3/atom